Entry 1:
A relaxed ScTeI2N crystal. Source: Alexandria, functional PBE.

abc: 6.010 6.010 3.943
angles: 90.00 90.00 90.00
Last column: magnetic moment on the atom in μB.
Sites, in units of the cell vectors:
1 I 0.000 0.500 0.000  0.04
2 I 0.500 0.000 0.000  0.04
3 Sc 0.000 0.000 0.000  0.01
4 Te 0.500 0.500 0.500  0.00
5 N 0.000 0.000 0.500  0.62

Results
- spin magnetization (μB/atom) = 0.20
- formation energy without anion corrections (meV per atom) = 68
- ΔE to the lowest computed polymorph (kcal/mol of atoms) = 0.000

=====

Entry 2:
A relaxed ScTeI2N crystal. Source: Alexandria, functional PBE.

abc: 5.767 5.767 5.616
angles: 90.00 90.00 90.00
Last column: magnetic moment on the atom in μB.
Sites, in units of the cell vectors:
1 I 0.000 0.500 0.000  0.01
2 I 0.500 0.000 0.000  0.01
3 Sc 0.000 0.000 0.000  0.02
4 Te 0.000 0.000 0.500  -0.05
5 N 0.500 0.500 0.500  1.90

Results
- spin magnetization (μB/atom) = 0.57
- formation energy without anion corrections (meV per atom) = 451
- ΔE to the lowest computed polymorph (kcal/mol of atoms) = 8.830

=====

Entry 3:
A relaxed ScTeI2N crystal. Source: Alexandria, functional PBE.

abc: 4.922 4.922 5.038
angles: 90.00 90.00 90.00
Last column: magnetic moment on the atom in μB.
Sites, in units of the cell vectors:
1 I 0.000 0.500 0.000  -0.02
2 I 0.500 0.000 0.000  -0.02
3 Sc 0.500 0.500 0.500  0.43
4 Te 0.000 0.000 0.500  -0.03
5 N 0.000 0.000 0.000  0.00

Results
- spin magnetization (μB/atom) = 0.10
- formation energy without anion corrections (meV per atom) = 539
- ΔE to the lowest computed polymorph (kcal/mol of atoms) = 10.863

=====

Entry 4:
A relaxed ScTeI2N crystal. Source: Alexandria, functional PBE.

abc: 6.284 6.284 4.000
angles: 90.00 90.00 90.00
Last column: magnetic moment on the atom in μB.
Sites, in units of the cell vectors:
1 I 0.000 0.500 0.000  -0.01
2 I 0.500 0.000 0.000  -0.01
3 Sc 0.500 0.500 0.500  0.97
4 Te 0.000 0.000 0.000  0.01
5 N 0.000 0.000 0.500  0.01

Results
- spin magnetization (μB/atom) = 0.28
- formation energy without anion corrections (meV per atom) = 625
- ΔE to the lowest computed polymorph (kcal/mol of atoms) = 12.836

=====

Entry 5:
A relaxed ScTlIN2 crystal. Source: Alexandria, functional PBE.

abc: 4.519 4.519 5.910
angles: 90.00 90.00 90.00
Last column: magnetic moment on the atom in μB.
Sites, in units of the cell vectors:
1 I 0.000 0.000 0.500  0.08
2 Sc 0.000 0.000 0.000  -0.08
3 Tl 0.500 0.500 0.500  0.01
4 N 0.000 0.500 0.000  0.97
5 N 0.500 0.000 0.000  0.97

Results
- spin magnetization (μB/atom) = 0.60
- formation energy without anion corrections (meV per atom) = 462
- ΔE to the lowest computed polymorph (kcal/mol of atoms) = 0.000

=====

Entry 6:
A relaxed ScTlIN2 crystal. Source: Alexandria, functional PBE.

abc: 4.306 4.306 5.962
angles: 90.00 90.00 90.00
Sites, in units of the cell vectors:
1 I 0.000 0.000 0.500
2 Sc 0.500 0.500 0.500
3 Tl 0.000 0.000 0.000
4 N 0.000 0.500 0.000
5 N 0.500 0.000 0.000

Results
- spin magnetization (μB/atom) = 0.00
- formation energy without anion corrections (meV per atom) = 1453
- ΔE to the lowest computed polymorph (kcal/mol of atoms) = 22.846

=====

Entry 7:
A relaxed ScVIN2 crystal. Source: Alexandria, functional PBE.

abc: 4.115 4.115 5.711
angles: 90.00 90.00 90.00
Last column: magnetic moment on the atom in μB.
Sites, in units of the cell vectors:
1 I 0.000 0.000 0.500  -0.01
2 Sc 0.000 0.000 0.000  0.00
3 N 0.000 0.500 0.000  0.07
4 N 0.500 0.000 0.000  0.07
5 V 0.500 0.500 0.500  0.28

Results
- spin magnetization (μB/atom) = 0.11
- formation energy without anion corrections (meV per atom) = 999
- ΔE to the lowest computed polymorph (kcal/mol of atoms) = 17.671

=====

Entry 8:
A relaxed ScVI2N crystal. Source: Alexandria, functional PBE.

abc: 5.857 5.857 3.887
angles: 90.00 90.00 90.00
Last column: magnetic moment on the atom in μB.
Sites, in units of the cell vectors:
1 I 0.000 0.500 0.000  -0.06
2 I 0.500 0.000 0.000  -0.06
3 Sc 0.000 0.000 0.000  0.03
4 N 0.000 0.000 0.500  -0.06
5 V 0.500 0.500 0.500  3.12

Results
- spin magnetization (μB/atom) = 0.73
- formation energy without anion corrections (meV per atom) = 234
- ΔE to the lowest computed polymorph (kcal/mol of atoms) = 7.095

=====

Entry 9:
A relaxed ScVI2N crystal. Source: Alexandria, functional PBE.

abc: 5.607 5.607 3.683
angles: 90.00 90.00 90.00
Last column: magnetic moment on the atom in μB.
Sites, in units of the cell vectors:
1 I 0.000 0.500 0.000  -0.02
2 I 0.500 0.000 0.000  -0.02
3 Sc 0.500 0.500 0.500  0.23
4 N 0.000 0.000 0.500  -0.19
5 V 0.000 0.000 0.000  1.46

Results
- spin magnetization (μB/atom) = 0.34
- formation energy without anion corrections (meV per atom) = -74
- ΔE to the lowest computed polymorph (kcal/mol of atoms) = 0.000

=====

Entry 10:
A relaxed ScVIN2 crystal. Source: Alexandria, functional PBE.

abc: 3.926 3.926 5.271
angles: 90.00 90.00 90.00
Sites, in units of the cell vectors:
1 I 0.000 0.000 0.500
2 Sc 0.500 0.500 0.500
3 N 0.000 0.500 0.000
4 N 0.500 0.000 0.000
5 V 0.000 0.000 0.000

Results
- spin magnetization (μB/atom) = 0.00
- formation energy without anion corrections (meV per atom) = 232
- ΔE to the lowest computed polymorph (kcal/mol of atoms) = 0.000

=====

Entry 11:
A relaxed ScWI2N crystal. Source: Alexandria, functional PBE.

abc: 5.646 5.646 3.833
angles: 90.00 90.00 90.00
Last column: magnetic moment on the atom in μB.
Sites, in units of the cell vectors:
1 I 0.000 0.500 0.000  -0.01
2 I 0.500 0.000 0.000  -0.01
3 Sc 0.500 0.500 0.500  0.65
4 W 0.000 0.000 0.000  -0.36
5 N 0.000 0.000 0.500  0.03

Results
- spin magnetization (μB/atom) = 0.10
- formation energy without anion corrections (meV per atom) = 332
- ΔE to the lowest computed polymorph (kcal/mol of atoms) = 0.000

=====

Entry 12:
A relaxed ScWI2N crystal. Source: Alexandria, functional PBE.

abc: 5.838 5.838 3.827
angles: 90.00 90.00 90.00
Last column: magnetic moment on the atom in μB.
Sites, in units of the cell vectors:
1 I 0.000 0.500 0.000  -0.02
2 I 0.500 0.000 0.000  -0.02
3 Sc 0.000 0.000 0.000  0.06
4 W 0.500 0.500 0.500  3.09
5 N 0.000 0.000 0.500  0.26

Results
- spin magnetization (μB/atom) = 0.91
- formation energy without anion corrections (meV per atom) = 964
- ΔE to the lowest computed polymorph (kcal/mol of atoms) = 14.579

=====

Entry 13:
A relaxed YScI2N crystal. Source: Alexandria, functional PBE.

abc: 5.870 5.870 3.928
angles: 90.00 90.00 90.00
Sites, in units of the cell vectors:
1 I 0.000 0.500 0.000
2 I 0.500 0.000 0.000
3 Y 0.500 0.500 0.500
4 Sc 0.000 0.000 0.000
5 N 0.000 0.000 0.500

Results
- spin magnetization (μB/atom) = 0.00
- formation energy without anion corrections (meV per atom) = -425
- ΔE to the lowest computed polymorph (kcal/mol of atoms) = 0.000

=====

Entry 14:
A relaxed YScIN2 crystal. Source: Alexandria, functional PBE.

abc: 4.273 5.431 4.273
angles: 90.00 90.00 90.00
Sites, in units of the cell vectors:
1 I 0.000 0.500 0.000
2 Y 0.500 0.500 0.500
3 Sc 0.000 0.000 0.000
4 N 0.000 0.000 0.500
5 N 0.500 0.000 0.000

Results
- spin magnetization (μB/atom) = 0.00
- formation energy without anion corrections (meV per atom) = 20
- ΔE to the lowest computed polymorph (kcal/mol of atoms) = 0.000

=====

Entry 15:
A relaxed YScI2N crystal. Source: Alexandria, functional PBE.

abc: 6.150 6.150 4.099
angles: 90.00 90.00 90.00
Last column: magnetic moment on the atom in μB.
Sites, in units of the cell vectors:
1 I 0.000 0.500 0.000  -0.01
2 I 0.500 0.000 0.000  -0.01
3 Y 0.000 0.000 0.000  0.01
4 Sc 0.500 0.500 0.500  0.98
5 N 0.000 0.000 0.500  -0.01

Results
- spin magnetization (μB/atom) = 0.29
- formation energy without anion corrections (meV per atom) = -151
- ΔE to the lowest computed polymorph (kcal/mol of atoms) = 6.312

=====

Entry 16:
A relaxed Y2ScIN crystal. Source: Alexandria, functional PBE.

abc: 4.531 6.628 4.531
angles: 90.00 90.00 90.00
Sites, in units of the cell vectors:
1 I 0.000 0.500 0.000
2 Y 0.000 0.000 0.500
3 Y 0.500 0.000 0.000
4 Sc 0.500 0.500 0.500
5 N 0.000 0.000 0.000

Results
- spin magnetization (μB/atom) = 0.00
- formation energy without anion corrections (meV per atom) = -350

=====

Entry 17:
A relaxed YScIN2 crystal. Source: Alexandria, functional PBE.

abc: 4.409 4.409 5.810
angles: 90.00 90.00 90.00
Sites, in units of the cell vectors:
1 I 0.000 0.000 0.500
2 Y 0.000 0.000 0.000
3 Sc 0.500 0.500 0.500
4 N 0.000 0.500 0.000
5 N 0.500 0.000 0.000

Results
- spin magnetization (μB/atom) = 0.00
- formation energy without anion corrections (meV per atom) = 421
- ΔE to the lowest computed polymorph (kcal/mol of atoms) = 9.252

=====

Entry 18:
A relaxed ScZnIN2 crystal. Source: Alexandria, functional PBE.

abc: 4.095 4.095 6.284
angles: 90.00 90.00 90.00
Sites, in units of the cell vectors:
1 I 0.000 0.000 0.500
2 Sc 0.000 0.000 0.000
3 Zn 0.500 0.500 0.500
4 N 0.000 0.500 0.000
5 N 0.500 0.000 0.000

Results
- spin magnetization (μB/atom) = 0.00
- formation energy without anion corrections (meV per atom) = 596
- ΔE to the lowest computed polymorph (kcal/mol of atoms) = 0.000

=====

Entry 19:
A relaxed ScZnIN2 crystal. Source: Alexandria, functional PBE.

abc: 4.030 4.030 5.411
angles: 90.00 90.00 90.00
Last column: magnetic moment on the atom in μB.
Sites, in units of the cell vectors:
1 I 0.000 0.000 0.500  0.01
2 Sc 0.500 0.500 0.500  -0.11
3 Zn 0.000 0.000 0.000  0.00
4 N 0.000 0.500 0.000  0.24
5 N 0.500 0.000 0.000  0.24

Results
- spin magnetization (μB/atom) = 0.11
- formation energy without anion corrections (meV per atom) = 1046
- ΔE to the lowest computed polymorph (kcal/mol of atoms) = 10.374

=====

Entry 20:
A relaxed ZrScIN2 crystal. Source: Alexandria, functional PBE.

abc: 4.244 5.693 4.244
angles: 90.00 90.00 90.00
Sites, in units of the cell vectors:
1 I 0.000 0.500 0.000
2 Sc 0.500 0.500 0.500
3 Zr 0.000 0.000 0.000
4 N 0.000 0.000 0.500
5 N 0.500 0.000 0.000

Results
- spin magnetization (μB/atom) = 0.00
- formation energy without anion corrections (meV per atom) = 145
- ΔE to the lowest computed polymorph (kcal/mol of atoms) = 0.000

=====

Entry 21:
A relaxed ZrScI2N crystal. Source: Alexandria, functional PBE.

abc: 5.914 5.914 4.011
angles: 90.00 90.00 90.00
Last column: magnetic moment on the atom in μB.
Sites, in units of the cell vectors:
1 I 0.000 0.500 0.000  -0.01
2 I 0.500 0.000 0.000  -0.01
3 Sc 0.500 0.500 0.500  0.92
4 Zr 0.000 0.000 0.000  -0.02
5 N 0.000 0.000 0.500  0.02

Results
- spin magnetization (μB/atom) = 0.28
- formation energy without anion corrections (meV per atom) = -127
- ΔE to the lowest computed polymorph (kcal/mol of atoms) = 0.000

=====

Entry 22:
A relaxed ZrScI2N crystal. Source: Alexandria, functional PBE.

abc: 5.867 5.867 3.828
angles: 90.00 90.00 90.00
Last column: magnetic moment on the atom in μB.
Sites, in units of the cell vectors:
1 I 0.000 0.500 0.000  -0.02
2 I 0.500 0.000 0.000  -0.02
3 Sc 0.000 0.000 0.000  0.06
4 Zr 0.500 0.500 0.500  1.13
5 N 0.000 0.000 0.500  0.14

Results
- spin magnetization (μB/atom) = 0.39
- formation energy without anion corrections (meV per atom) = 70
- ΔE to the lowest computed polymorph (kcal/mol of atoms) = 4.540

=====

Entry 23:
A relaxed ZrScIN2 crystal. Source: Alexandria, functional PBE.

abc: 4.196 4.196 5.403
angles: 90.00 90.00 90.00
Sites, in units of the cell vectors:
1 I 0.000 0.000 0.500
2 Sc 0.000 0.000 0.000
3 Zr 0.500 0.500 0.500
4 N 0.000 0.500 0.000
5 N 0.500 0.000 0.000

Results
- spin magnetization (μB/atom) = 0.00
- formation energy without anion corrections (meV per atom) = 526
- ΔE to the lowest computed polymorph (kcal/mol of atoms) = 8.787

=====

Entry 24:
A relaxed SeIN crystal. Source: Alexandria, functional PBE.

abc: 3.286 4.612 13.630
angles: 73.25 90.00 90.00
Last column: magnetic moment on the atom in μB.
Sites, in units of the cell vectors:
1 Se 0.250 0.178 0.955  0.00
2 Se 0.750 0.822 0.045  0.00
3 I 0.750 0.589 0.752  0.06
4 I 0.250 0.411 0.248  0.06
5 N 0.750 0.849 0.389  1.87
6 N 0.250 0.151 0.611  1.87

Results
- spin magnetization (μB/atom) = 0.97
- formation energy without anion corrections (meV per atom) = 1813
- ΔE to the lowest computed polymorph (kcal/mol of atoms) = 37.356

=====

Entry 25:
A relaxed Se2IN crystal. Source: Alexandria, functional PBE.

abc: 4.796 4.796 4.796
angles: 60.00 60.00 60.00
Sites, in units of the cell vectors:
1 I 0.500 0.500 0.500
2 Se 0.250 0.250 0.250
3 Se 0.750 0.750 0.750
4 N 0.000 0.000 0.000

Results
- spin magnetization (μB/atom) = 0.00
- formation energy without anion corrections (meV per atom) = 1837
- ΔE to the lowest computed polymorph (kcal/mol of atoms) = 29.492

=====

Entry 26:
A relaxed Se2IN crystal. Source: Alexandria, functional PBE.

abc: 8.305 8.305 8.305
angles: 31.75 31.75 31.75
Sites, in units of the cell vectors:
1 I 0.500 0.500 0.500
2 Se 0.072 0.072 0.072
3 Se 0.928 0.928 0.928
4 N 0.000 0.000 0.000

Results
- spin magnetization (μB/atom) = 0.00
- formation energy without anion corrections (meV per atom) = 558
- ΔE to the lowest computed polymorph (kcal/mol of atoms) = 0.000

=====

Entry 27:
A relaxed Se2IN crystal. Source: Alexandria, functional PBE.

abc: 8.246 8.246 8.246
angles: 25.62 25.62 25.62
Sites, in units of the cell vectors:
1 I 0.000 0.000 0.000
2 Se 0.885 0.885 0.885
3 Se 0.115 0.115 0.115
4 N 0.500 0.500 0.500

Results
- spin magnetization (μB/atom) = 0.00
- formation energy without anion corrections (meV per atom) = 1153
- ΔE to the lowest computed polymorph (kcal/mol of atoms) = 13.730

=====

Entry 28:
A relaxed Se2IN crystal. Source: Alexandria, functional PBE.

abc: 5.652 5.652 7.231
angles: 66.99 66.99 90.00
Sites, in units of the cell vectors:
1 I 0.000 0.000 0.000
2 I 0.750 0.250 0.500
3 Se 0.406 0.125 0.250
4 Se 0.344 0.625 0.250
5 Se 0.375 0.594 0.750
6 Se 0.875 0.656 0.750
7 N 0.500 0.500 0.000
8 N 0.250 0.750 0.500

Results
- spin magnetization (μB/atom) = 0.00
- formation energy without anion corrections (meV per atom) = 896
- ΔE to the lowest computed polymorph (kcal/mol of atoms) = 7.793